1.
Zr2PtRh: optimized geometry, PBE-GGA.

```
data_Zr2PtRh
_symmetry_space_group_name_H-M 'P 1'
_symmetry_Int_Tables_number 1
_cell_length_a 4.329
_cell_length_b 3.398
_cell_length_c 5.423
_cell_angle_alpha 71.94
_cell_angle_beta 90.00
_cell_angle_gamma 90.00
loop_
_symmetry_equiv_pos_as_xyz
'x,y,z'
loop_
_atom_site_label
_atom_site_type_symbol
_atom_site_fract_x
_atom_site_fract_y
_atom_site_fract_z
_atom_site_occupancy
Rh1 Rh 0.500 0.531 0.814 1
Zr1 Zr 0.000 0.985 0.906 1
Zr2 Zr 0.500 0.269 0.335 1
Pt1 Pt 0.000 0.715 0.445 1
```

## Properties
- Total moment: 0.000 μB per cell
- ρ: 10.5 g/cm³
- Fermi-level density of states: 2.85 states/eV/f.u.
- Raw total energy: -8.564 eV per atom

2.
ZrPtRh2: optimized geometry, PBE-GGA.

```
data_ZrPtRh2
_symmetry_space_group_name_H-M 'P 1'
_symmetry_Int_Tables_number 1
_cell_length_a 4.657
_cell_length_b 2.846
_cell_length_c 4.969
_cell_angle_alpha 85.89
_cell_angle_beta 90.00
_cell_angle_gamma 90.00
loop_
_symmetry_equiv_pos_as_xyz
'x,y,z'
loop_
_atom_site_label
_atom_site_type_symbol
_atom_site_fract_x
_atom_site_fract_y
_atom_site_fract_z
_atom_site_occupancy
Pt1 Pt 0.500 0.750 0.750 1
Rh1 Rh 0.000 0.969 0.989 1
Rh2 Rh 0.000 0.531 0.511 1
Zr1 Zr 0.500 0.250 0.250 1
```

## Properties
- Total moment: 0.000 μB per cell
- ρ: 12.4 g/cm³
- Fermi-level density of states: 4.32 states/eV/f.u.
- Raw total energy: -7.697 eV per atom

3.
Zr3PtRh: optimized geometry, PBE-GGA.

```
data_Zr3PtRh
_symmetry_space_group_name_H-M 'P 1'
_symmetry_Int_Tables_number 1
_cell_length_a 4.939
_cell_length_b 4.939
_cell_length_c 4.939
_cell_angle_alpha 90.00
_cell_angle_beta 90.00
_cell_angle_gamma 90.00
loop_
_symmetry_equiv_pos_as_xyz
'x,y,z'
loop_
_atom_site_label
_atom_site_type_symbol
_atom_site_fract_x
_atom_site_fract_y
_atom_site_fract_z
_atom_site_occupancy
Rh1 Rh 0.000 0.000 0.000 1
Zr1 Zr 0.000 0.500 0.000 1
Zr2 Zr 0.000 0.000 0.500 1
Zr3 Zr 0.500 0.000 0.000 1
Pt1 Pt 0.500 0.500 0.500 1
```

## Properties
- Total moment: 0.000 μB per cell
- ρ: 7.9 g/cm³
- Fermi-level density of states: 8.11 states/eV/f.u.
- Raw total energy: -7.578 eV per atom

4.
ZrPt2Rh3: optimized geometry, PBE-GGA.

```
data_ZrPt2Rh3
_symmetry_space_group_name_H-M 'P 1'
_symmetry_Int_Tables_number 1
_cell_length_a 7.447
_cell_length_b 4.844
_cell_length_c 8.315
_cell_angle_alpha 55.95
_cell_angle_beta 68.63
_cell_angle_gamma 49.39
loop_
_symmetry_equiv_pos_as_xyz
'x,y,z'
loop_
_atom_site_label
_atom_site_type_symbol
_atom_site_fract_x
_atom_site_fract_y
_atom_site_fract_z
_atom_site_occupancy
Zr1 Zr 0.501 0.366 0.826 1
Zr2 Zr 0.500 0.637 0.172 1
Pt1 Pt 0.001 0.838 0.839 1
Pt2 Pt 0.000 0.165 0.159 1
Pt3 Pt 0.001 0.501 0.499 1
Pt4 Pt 0.501 0.001 0.499 1
Rh1 Rh 0.753 0.601 0.831 1
Rh2 Rh 0.248 0.402 0.167 1
Rh3 Rh 0.753 0.897 0.167 1
Rh4 Rh 0.244 0.757 0.499 1
Rh5 Rh 0.248 0.105 0.831 1
Rh6 Rh 0.757 0.245 0.499 1
```

## Properties
- Total moment: 0.000 μB per cell
- ρ: 13.9 g/cm³
- Fermi-level density of states: 7.67 states/eV/f.u.
- Raw total energy: -7.556 eV per atom